1 | Density functional theory data (SCAN) for a PBEsol-optimized structure of ScCr2Cl.

Structure (POSCAR):
```
ScCr2Cl
1.0
2.626 -4.564 0.000
2.626 4.564 0.000
0.000 0.000 3.088
Sc Cr Cl
1 2 1
Direct
0.000 0.000 0.000
0.000 0.500 0.500
0.500 0.000 0.500
0.500 0.500 0.000
```

## Properties
Space-group type: No. 65
Mass density in kg/m3: 4137
Total moment in μB per formula unit: 8.76

---

2 | Density functional theory data (SCAN) for a PBEsol-optimized structure of ScCr2Cl.

Structure (POSCAR):
```
ScCr2Cl
1.0
3.005 0.000 0.000
0.000 3.005 0.000
0.000 0.000 7.308
Sc Cr Cl
1 2 1
Direct
0.000 0.000 0.000
0.000 0.000 0.593
0.500 0.500 0.746
0.500 0.500 0.231
```

## Properties
Space-group type: No. 99
Mass density in kg/m3: 4639
Total moment in μB per formula unit: 1.50

---

Most stable structure among those shown: 2.